# Ba3Np2InO9 GGA-PBE optimized geometry
# Size of the total moment: 5.0 μB/cell
# Formation energy from raw total energies: -2.74 eV per atom
# DOS(E_F): 11.73 states/eV/f.u.
data_Ba3Np2InO9
_chemical_formula_sum 'Ba3 Np2 In1 O9'
_cell_length_a 6.1539
_cell_length_b 6.1539
_cell_length_c 7.5703
_cell_angle_alpha 90.00
_cell_angle_beta 90.00
_cell_angle_gamma 120.00
_space_group_name_H-M_alt 'P -3 m 1'
_space_group_IT_number 164
_space_group_name_Hall '-P 3 2"'
loop_
_atom_site_label
_atom_site_fract_x
_atom_site_fract_y
_atom_site_fract_z
Ba1 0.0000 0.0000 0.0000
Ba2 0.3333 0.6667 0.6550
Np1 0.3333 0.6667 0.1700
In1 0.0000 0.0000 0.5000
O1 0.0000 0.5000 0.0000
O2 0.1679 0.3358 0.3326